1.
# LaCr3W

A relaxed LaCr3W crystal (GGA-PBE, Alexandria via LeMat-Bulk).

Structure (POSCAR):
```
LaCr3W
1.0
-3.9332 -0.9320 -2.4971
-0.0131 -4.4445 1.6794
-2.6653 1.3971 3.6767
W Cr La
1 3 1
direct
0.0000 0.0000 0.0000
0.0000 0.5000 0.0000
0.5000 0.0000 0.0000
0.0000 0.0000 0.5000
0.5000 0.5000 0.5000
```

- Magnetization: 6.96 μB/cell
- Calculated volume: 107 Å³/f.u.
- Total DFT energy (no corrections): -8.40 eV per atom
- Space-group type: No. 221

***

2.
# LaYTlCd

A relaxed LaYTlCd crystal (GGA-PBE, Alexandria via LeMat-Bulk).

Structure (POSCAR):
```
LaYTlCd
1.0
-1.4182 0.5644 -5.2658
-5.2715 -0.3314 -1.4699
-2.6727 4.4927 -1.6528
La Cd Tl Y
1 1 1 1
direct
0.2500 0.2500 0.2500
0.0000 0.0000 0.0000
0.5000 0.5000 0.5000
0.7500 0.7500 0.7500
```

- Magnetization: 0.01 μB/cell
- Calculated volume: 117 Å³/f.u.
- Total DFT energy (no corrections): -4.04 eV per atom
- Space-group type: No. 216

***

3.
# MgC2F

A relaxed MgC2F crystal (GGA-PBE, Alexandria via LeMat-Bulk).

Structure (POSCAR):
```
MgC2F
1.0
-1.7439 0.9684 1.9307
0.9277 -1.9051 1.7935
7.0056 6.2660 5.1805
F C Mg
2 4 2
direct
0.2500 0.7500 0.5000
0.5000 0.5000 0.0000
0.3750 0.1250 0.2500
0.3750 0.6250 0.2500
0.8750 0.6250 0.7500
0.3750 0.6250 0.7500
0.0000 0.0000 0.0000
0.7500 0.2500 0.5000
```

- Magnetization: 0.00 μB/cell
- Calculated volume: 41 Å³/f.u.
- Total DFT energy (no corrections): -5.71 eV per atom
- Space-group type: No. 141

***

4.
# Sr2HgRhPb

A relaxed Sr2HgRhPb crystal (GGA-PBE, Alexandria via LeMat-Bulk).

Structure (POSCAR):
```
Sr2HgRhPb
1.0
5.8084 0.0000 0.0000
0.0000 5.8084 0.0000
0.0000 0.0000 5.1796
Sr Rh Pb Hg
2 1 1 1
direct
0.5000 0.0000 0.0000
0.0000 0.5000 0.0000
0.0000 0.0000 0.0000
0.0000 0.0000 0.5000
0.5000 0.5000 0.5000
```

- Magnetization: 0.00 μB/cell
- Calculated volume: 175 Å³/f.u.
- Total DFT energy (no corrections): -3.29 eV per atom
- Space-group type: No. 123

***

5.
# KCo3

A relaxed KCo3 crystal (GGA-PBE, Alexandria via LeMat-Bulk).

Structure (POSCAR):
```
KCo3
1.0
5.7680 -0.0091 -0.0065
2.8533 5.0128 0.0065
-3.4172 -4.0412 2.2937
Co K
3 1
direct
0.9527 0.9527 0.0000
0.5473 0.5473 0.0000
0.7500 0.2500 0.5000
0.2500 0.7500 0.5000
```

- Magnetization: 5.15 μB/cell
- Calculated volume: 66 Å³/f.u.
- Total DFT energy (no corrections): -4.67 eV per atom
- Space-group type: No. 71

***

6.
# Pm5Er3Th2

A relaxed Pm5Er3Th2 crystal (GGA-PBE, Alexandria via LeMat-Bulk).

Structure (POSCAR):
```
Pm5Er3Th2
1.0
8.1651 1.2683 -3.6828
-0.1605 8.2755 -3.7186
-1.1819 -1.3830 11.1209
Th Pm Er
4 10 6
direct
0.4944 0.7448 0.7572
0.2372 0.9876 0.2428
0.5056 0.2552 0.2428
0.7628 0.0124 0.7572
0.8878 0.6344 0.7703
0.9732 0.2232 0.4465
0.1122 0.3656 0.2297
0.3825 0.1359 0.7703
0.2801 0.5301 0.0602
0.0268 0.7768 0.5535
0.5286 0.2786 0.5572
0.7199 0.4699 0.9398
0.4714 0.7214 0.4428
0.6175 0.8641 0.2297
0.7850 0.0350 0.0699
0.0177 0.7690 0.2431
0.7253 0.4741 0.2431
0.2747 0.5259 0.7569
0.9822 0.2310 0.7569
0.2150 0.9650 0.9301
```

- Magnetization: 0.00 μB/cell
- Calculated volume: 340 Å³/f.u.
- Total DFT energy (no corrections): -5.02 eV per atom
- Space-group type: No. 15

***

7.
# Ga2IF

A relaxed Ga2IF crystal (GGA-PBE, Alexandria via LeMat-Bulk).

Structure (POSCAR):
```
Ga2IF
1.0
1.5536 -4.3103 2.5480
-2.9020 -1.9147 3.9239
-2.6137 -4.5010 -0.6272
F I Ga
1 1 2
direct
0.0000 0.0000 0.0000
0.5000 0.5000 0.5000
0.2500 0.2500 0.2500
0.7500 0.7500 0.7500
```

- Magnetization: 0.00 μB/cell
- Calculated volume: 102 Å³/f.u.
- Total DFT energy (no corrections): -3.01 eV per atom
- Space-group type: No. 225

***

8.
# HoFeSi

A relaxed HoFeSi crystal (GGA-PBE, Alexandria via LeMat-Bulk).

Structure (POSCAR):
```
HoFeSi
1.0
-1.9078 -2.8531 -1.6425
0.0898 -2.0591 3.4725
-3.0697 2.5038 -0.7839
Ho Si Fe
1 1 1
direct
0.6667 0.6667 0.3333
0.1667 0.0000 0.0000
0.1667 0.3333 0.6667
```

- Magnetization: 1.26 μB/cell
- Calculated volume: 54 Å³/f.u.
- Total DFT energy (no corrections): -6.63 eV per atom
- Space-group type: No. 187

***

9.
# PmH2F

A relaxed PmH2F crystal (GGA-PBE, Alexandria via LeMat-Bulk).

Structure (POSCAR):
```
PmH2F
1.0
3.8809 0.0000 0.0000
1.9404 3.3609 0.0000
1.9404 1.1203 3.1687
Pm H F
1 2 1
direct
0.0000 0.0000 0.0000
0.7500 0.7500 0.7500
0.2500 0.2500 0.2500
0.5000 0.5000 0.5000
```

- Magnetization: 0.00 μB/cell
- Calculated volume: 41 Å³/f.u.
- Total DFT energy (no corrections): -4.86 eV per atom
- Space-group type: No. 225

***

10.
# CsK2Hg9

A relaxed CsK2Hg9 crystal (GGA-PBE, Alexandria via LeMat-Bulk).

Structure (POSCAR):
```
CsK2Hg9
1.0
-6.3776 0.0113 -1.1751
-2.4070 -3.5486 -4.8651
-4.1734 -9.4897 4.6643
Cs Hg K
1 9 2
direct
0.0000 0.0000 0.0000
0.5000 0.5000 0.5000
0.3376 0.3376 0.9872
0.0751 0.5912 0.7426
0.6624 0.6624 0.0128
0.4088 0.4088 0.2574
0.5912 0.5912 0.7426
0.9249 0.4088 0.2574
0.5912 0.0751 0.7426
0.4088 0.9249 0.2574
0.1431 0.1431 0.5707
0.8569 0.8569 0.4293
```

- Magnetization: 0.00 μB/cell
- Calculated volume: 391 Å³/f.u.
- Total DFT energy (no corrections): -0.69 eV per atom
- Space-group type: No. 166

***

11.
# Na3YBr6

A relaxed Na3YBr6 crystal (GGA-PBE, Alexandria via LeMat-Bulk).

Structure (POSCAR):
```
Na3YBr6
1.0
0.0000 5.6328 5.6328
5.6328 0.0000 5.6328
5.6328 5.6328 0.0000
Y Na Br
1 3 6
direct
0.0000 0.0000 0.0000
0.5000 0.5000 0.5000
0.2500 0.2500 0.2500
0.7500 0.7500 0.7500
0.7535 0.7535 0.2465
0.2465 0.2465 0.7535
0.7535 0.2465 0.2465
0.7535 0.2465 0.7535
0.2465 0.7535 0.7535
0.2465 0.7535 0.2465
```

- Magnetization: 0.00 μB/cell
- Calculated volume: 357 Å³/f.u.
- Total DFT energy (no corrections): -3.58 eV per atom
- Space-group type: No. 225

***

12.
# LaCrBr2

A relaxed LaCrBr2 crystal (GGA-PBE, Alexandria via LeMat-Bulk).

Structure (POSCAR):
```
LaCrBr2
1.0
4.1419 0.0000 0.0000
0.0000 3.6853 -0.1261
0.0000 0.2620 6.7777
Cr La Br
1 1 2
direct
0.5000 0.2500 0.2500
0.5000 0.7500 0.7500
0.0000 0.2488 0.9900
0.0000 0.2512 0.5100
```

- Magnetization: 4.51 μB/cell
- Calculated volume: 104 Å³/f.u.
- Total DFT energy (no corrections): -5.02 eV per atom
- Space-group type: No. 10

***

13.
# SbOsCI2

A relaxed SbOsCI2 crystal (GGA-PBE, Alexandria via LeMat-Bulk).

Structure (POSCAR):
```
SbOsCI2
1.0
-0.7754 -4.6858 -0.0735
3.9846 -0.6200 -2.5104
2.3904 -0.4569 3.9070
I Os C Sb
2 1 1 1
direct
0.5000 0.0000 0.0000
0.0000 0.5000 0.0000
0.5000 0.5000 0.5000
0.0000 0.0000 0.0000
0.0000 0.0000 0.5000
```

- Magnetization: 0.00 μB/cell
- Calculated volume: 104 Å³/f.u.
- Total DFT energy (no corrections): -3.54 eV per atom
- Space-group type: No. 123

***

14.
# CuRe2Hg

A relaxed CuRe2Hg crystal (GGA-PBE, Alexandria via LeMat-Bulk).

Structure (POSCAR):
```
CuRe2Hg
1.0
9.3759 -0.0159 -0.0093
8.9612 2.7577 -0.0093
8.9612 1.3399 2.4103
Cu Re Hg
1 2 1
direct
0.7500 0.7500 0.7500
0.4931 0.4931 0.4931
0.0069 0.0069 0.0069
0.2500 0.2500 0.2500
```

- Magnetization: 0.00 μB/cell
- Calculated volume: 63 Å³/f.u.
- Total DFT energy (no corrections): -6.62 eV per atom
- Space-group type: No. 166

***

15.
# GeHN2F

A relaxed GeHN2F crystal (GGA-PBE, Alexandria via LeMat-Bulk).

Structure (POSCAR):
```
GeHN2F
1.0
-0.5286 3.5802 -1.2324
-3.0334 -1.1451 -2.0255
-2.3711 0.7301 3.1381
Ge F H N
1 1 1 2
direct
0.0000 0.0000 0.0000
0.0000 0.0000 0.5000
0.5000 0.5000 0.5000
0.0000 0.5000 0.0000
0.5000 0.0000 0.0000
```

- Magnetization: 3.67 μB/cell
- Calculated volume: 58 Å³/f.u.
- Total DFT energy (no corrections): -4.21 eV per atom
- Space-group type: No. 123

***

16.
# Li2PW

A relaxed Li2PW crystal (GGA-PBE, Alexandria via LeMat-Bulk).

Structure (POSCAR):
```
Li2PW
1.0
2.8367 0.0039 0.0000
-0.8919 2.6928 0.0000
0.0000 0.0000 8.5595
Li P W
2 1 1
direct
0.0000 0.0000 0.9813
0.5000 0.5000 0.2908
0.0000 0.0000 0.5136
0.5000 0.5000 0.7142
```

- Magnetization: 0.00 μB/cell
- Calculated volume: 65 Å³/f.u.
- Total DFT energy (no corrections): -5.48 eV per atom
- Space-group type: No. 35

***

17.
# SmDy2Sn

A relaxed SmDy2Sn crystal (GGA-PBE, Alexandria via LeMat-Bulk).

Structure (POSCAR):
```
SmDy2Sn
1.0
3.7618 0.0000 0.0000
0.0000 3.7618 0.0000
0.0000 0.0000 8.4970
Sn Sm Dy
1 1 2
direct
0.5000 0.5000 0.0000
0.5000 0.5000 0.5000
0.0000 0.0000 0.2174
0.0000 0.0000 0.7826
```

- Magnetization: 0.00 μB/cell
- Calculated volume: 120 Å³/f.u.
- Total DFT energy (no corrections): -4.78 eV per atom
- Space-group type: No. 123

***

18.
# YPaCrN4

A relaxed YPaCrN4 crystal (GGA-PBE, Alexandria via LeMat-Bulk).

Structure (POSCAR):
```
YPaCrN4
1.0
5.7122 0.0000 0.0782
0.0000 5.2853 0.0000
-2.1395 0.0000 6.3022
N Pa Y Cr
8 2 2 2
direct
0.9827 0.4989 0.7328
0.4416 0.7500 0.1378
0.4283 0.7500 0.5715
0.9827 0.0011 0.7328
0.5717 0.2500 0.4285
0.5584 0.2500 0.8622
0.0173 0.9989 0.2672
0.0173 0.5011 0.2672
0.7709 0.7500 0.4432
0.2291 0.2500 0.5568
0.7010 0.7500 0.9236
0.2990 0.2500 0.0764
0.2334 0.7500 0.2986
0.7666 0.2500 0.7014
```

- Magnetization: 3.12 μB/cell
- Calculated volume: 96 Å³/f.u.
- Total DFT energy (no corrections): -9.48 eV per atom
- Space-group type: No. 11

***

19.
# Ba2TlHg6

A relaxed Ba2TlHg6 crystal (GGA-PBE, Alexandria via LeMat-Bulk).

Structure (POSCAR):
```
Ba2TlHg6
1.0
-4.1687 -2.2047 -4.5581
5.0413 -2.2204 -3.5549
-0.3880 -5.7533 3.1194
Hg Ba Tl
6 2 1
direct
0.5000 0.1669 0.8332
0.8305 0.4965 0.1644
0.1695 0.8356 0.5035
0.5000 0.8331 0.1668
0.1695 0.5035 0.8356
0.8305 0.1644 0.4965
0.3223 0.3251 0.3251
0.6777 0.6749 0.6749
0.0000 0.0000 0.0000
```

- Magnetization: 0.00 μB/cell
- Calculated volume: 282 Å³/f.u.
- Total DFT energy (no corrections): -1.24 eV per atom
- Space-group type: No. 12

***

20.
# Cs2PrBiO4

A relaxed Cs2PrBiO4 crystal (GGA-PBE, Alexandria via LeMat-Bulk).

Structure (POSCAR):
```
Cs2PrBiO4
1.0
-0.7440 3.6252 -0.4261
-2.6444 -1.2166 -5.7335
-5.2970 -0.5046 4.9570
Cs O Pr Bi
2 4 1 1
direct
0.0000 0.5000 0.5000
0.5000 0.0000 0.5000
0.0000 0.2775 0.8270
0.5000 0.2287 0.1773
0.5000 0.7713 0.8227
0.0000 0.7225 0.1730
0.5000 0.5000 0.0000
0.0000 0.0000 0.0000
```

- Magnetization: 0.00 μB/cell
- Calculated volume: 166 Å³/f.u.
- Total DFT energy (no corrections): -5.63 eV per atom
- Space-group type: No. 10